Zr4TlH, optimized geometry, DFT GGA-PBE; DOS(E_F) = 11.6 states/eV per cell; ρ = 7.59 g cm⁻³; space-group type = C2/c (15); E = -6.67 eV/atom
1.0
5.524 0.127 0.000
-1.342 6.387 0.000
-2.091 -3.257 7.033
Zr Tl H
8 2 2
Cartesian
2.294 2.392 3.931
-1.815 -1.908 6.183
-0.874 4.059 3.931
-0.947 1.844 6.183
3.039 1.413 0.851
2.965 -0.801 3.102
3.906 5.165 0.851
-0.203 0.865 3.102
1.381 0.032 5.584
0.710 3.225 1.449
-2.052 3.162 5.256
4.143 0.095 1.778